[1]
## CuMoSe2 (GGA-PBE)

Data for a relaxed CuMoSe2 crystal.

Summary:
raw total energy: -5.53 eV per atom
N(E_F): 0.81 states/eV/atom
formation energy from raw total energies: -53 meV/atom
volume: 78 Å³/cell
E above lowest polymorph: 58 meV/atom

Cell and atoms, written as CIF:
```
data_CuMoSe2
_cell_length_a 3.302
_cell_length_b 3.302
_cell_length_c 7.148
_cell_angle_alpha 90.00
_cell_angle_beta 90.00
_cell_angle_gamma 90.00
_symmetry_space_group_name_H-M 'P 4 m m'
_symmetry_Int_Tables_number 99
loop_
_symmetry_equiv_pos_as_xyz
'x,y,z'
'-y,x,z'
'-x,-y,z'
'y,-x,z'
'-x,y,z'
'y,x,z'
'x,-y,z'
'-y,-x,z'
loop_
_atom_site_label
_atom_site_type_symbol
_atom_site_fract_x
_atom_site_fract_y
_atom_site_fract_z
Cu1 Cu 0.000 0.000 0.000
Mo1 Mo 0.500 0.500 0.228
Se1 Se 0.000 0.000 0.399
Se2 Se 0.500 0.500 0.875
```



[2]
## CuMo2Se (GGA-PBE)

Data for a relaxed CuMo2Se crystal.

Summary:
raw total energy: -6.93 eV per atom
N(E_F): 0.89 states/eV/atom
formation energy from raw total energies: 377 meV/atom
volume: 185 Å³/cell

Cell and atoms, written as CIF:
```
data_CuMo2Se
_cell_length_a 2.9412
_cell_length_b 2.9412
_cell_length_c 24.7492
_cell_angle_alpha 90.00
_cell_angle_beta 90.00
_cell_angle_gamma 120.00
_symmetry_space_group_name_H-M 'R -3 m'
_symmetry_Int_Tables_number 166
_symmetry_space_group_name_Hall '-R 3 2"'
loop_
_atom_site_label
_atom_site_type_symbol
_atom_site_fract_x
_atom_site_fract_y
_atom_site_fract_z
Cu1 Cu 0.0000 0.0000 0.0000
Mo1 Mo 0.0000 0.0000 0.2476
Se1 Se 0.0000 0.0000 0.5000
```



[3]
## CuMoSe2 (GGA-PBE)

Data for a relaxed CuMoSe2 crystal.

Summary:
raw total energy: -5.07 eV per atom
N(E_F): 0.95 states/eV/atom
formation energy from raw total energies: 405 meV/atom
volume: 143 Å³/cell
E above lowest polymorph: 516 meV/atom

Cell and atoms, written as CIF:
```
data_CuMoSe2
_cell_length_a 3.274
_cell_length_b 5.560
_cell_length_c 7.872
_cell_angle_alpha 90.00
_cell_angle_beta 90.00
_cell_angle_gamma 90.00
_symmetry_space_group_name_H-M 'C m m m'
_symmetry_Int_Tables_number 65
_symmetry_space_group_name_Hall '-C 2 2'
loop_
_atom_site_label
_atom_site_type_symbol
_atom_site_fract_x
_atom_site_fract_y
_atom_site_fract_z
Cu1 Cu 0.000 0.000 0.000
Mo1 Mo 0.000 0.000 0.500
Se1 Se 0.000 0.500 0.251
```



[4]
## CuMoSe2 (GGA-PBE)

Data for a relaxed CuMoSe2 crystal.

Summary:
raw total energy: -5.55 eV per atom
N(E_F): 0.80 states/eV/atom
formation energy from raw total energies: -74 meV/atom
volume: 205 Å³/cell
E above lowest polymorph: 36 meV/atom

Cell and atoms, written as CIF:
```
data_CuMoSe2
_cell_length_a 3.2972
_cell_length_b 3.2972
_cell_length_c 21.7865
_cell_angle_alpha 90.00
_cell_angle_beta 90.00
_cell_angle_gamma 120.00
_symmetry_space_group_name_H-M 'R -3 m'
_symmetry_Int_Tables_number 166
_symmetry_space_group_name_Hall '-R 3 2"'
loop_
_atom_site_label
_atom_site_type_symbol
_atom_site_fract_x
_atom_site_fract_y
_atom_site_fract_z
Cu1 Cu 0.0000 0.0000 0.0000
Mo1 Mo 0.0000 0.0000 0.5000
Se1 Se 0.0000 0.0000 0.2482
```



[5]
## CuMo2Se (GGA-PBE)

Data for a relaxed CuMo2Se crystal.

Summary:
raw total energy: -6.99 eV per atom
N(E_F): 0.69 states/eV/atom
formation energy from raw total energies: 320 meV/atom
volume: 120 Å³/cell

Cell and atoms, written as CIF:
```
data_CuMo2Se
_cell_length_a 3.165
_cell_length_b 4.365
_cell_length_c 8.693
_cell_angle_alpha 90.00
_cell_angle_beta 90.00
_cell_angle_gamma 90.00
_symmetry_space_group_name_H-M 'I m m 2'
_symmetry_Int_Tables_number 44
loop_
_symmetry_equiv_pos_as_xyz
'x,y,z'
'-x,-y,z'
'-x,y,z'
'x,-y,z'
'x+1/2,y+1/2,z+1/2'
'-x+1/2,-y+1/2,z+1/2'
'-x+1/2,y+1/2,z+1/2'
'x+1/2,-y+1/2,z+1/2'
loop_
_atom_site_label
_atom_site_type_symbol
_atom_site_fract_x
_atom_site_fract_y
_atom_site_fract_z
Cu1 Cu 0.000 0.000 0.000
Mo1 Mo 0.000 0.000 0.528
Mo2 Mo 0.000 0.500 0.762
Se1 Se 0.000 0.500 0.261
```



[6]
## CuMoSe (GGA-PBE)

Data for a relaxed CuMoSe crystal.

Summary:
raw total energy: -6.11 eV per atom
N(E_F): 0.12 states/eV/atom
formation energy from raw total energies: 32 meV/atom
volume: 234 Å³/cell
E above lowest polymorph: 0 meV/atom

Cell and atoms, written as CIF:
```
data_CuMoSe
_cell_length_a 8.240
_cell_length_b 3.168
_cell_length_c 9.059
_cell_angle_alpha 90.00
_cell_angle_beta 98.90
_cell_angle_gamma 90.00
_symmetry_space_group_name_H-M 'C 1 2/m 1'
_symmetry_Int_Tables_number 12
loop_
_symmetry_equiv_pos_as_xyz
'x,y,z'
'-x,-y,-z'
'-x,y,-z'
'x,-y,z'
'x+1/2,y+1/2,z'
'-x+1/2,-y+1/2,-z'
'-x+1/2,y+1/2,-z'
'x+1/2,-y+1/2,z'
loop_
_atom_site_label
_atom_site_type_symbol
_atom_site_fract_x
_atom_site_fract_y
_atom_site_fract_z
Cu1 Cu 0.118 0.000 0.276
Mo1 Mo 0.133 0.000 0.576
Se1 Se 0.119 0.500 0.803
```



[7]
## CuMoSe2 (GGA-PBE)

Data for a relaxed CuMoSe2 crystal.

Summary:
raw total energy: -5.11 eV per atom
N(E_F): 0.50 states/eV/atom
formation energy from raw total energies: 365 meV/atom
volume: 160 Å³/cell
E above lowest polymorph: 476 meV/atom

Cell and atoms, written as CIF:
```
data_CuMoSe2
_cell_length_a 6.662
_cell_length_b 7.402
_cell_length_c 3.244
_cell_angle_alpha 90.00
_cell_angle_beta 90.00
_cell_angle_gamma 90.00
_symmetry_space_group_name_H-M 'C m m m'
_symmetry_Int_Tables_number 65
_symmetry_space_group_name_Hall '-C 2 2'
loop_
_atom_site_label
_atom_site_type_symbol
_atom_site_fract_x
_atom_site_fract_y
_atom_site_fract_z
Cu1 Cu 0.000 0.000 0.000
Mo1 Mo 0.000 0.500 0.000
Se1 Se 0.250 0.250 0.000
```



[8]
## CuMo2Se (GGA-PBE)

Data for a relaxed CuMo2Se crystal.

Summary:
raw total energy: -7.02 eV per atom
N(E_F): 0.90 states/eV/atom
formation energy from raw total energies: 287 meV/atom
volume: 59 Å³/cell

Cell and atoms, written as CIF:
```
data_CuMo2Se
_cell_length_a 3.039
_cell_length_b 3.039
_cell_length_c 6.424
_cell_angle_alpha 90.00
_cell_angle_beta 90.00
_cell_angle_gamma 90.00
_symmetry_space_group_name_H-M 'P 4/m m m'
_symmetry_Int_Tables_number 123
_symmetry_space_group_name_Hall '-P 4 2'
loop_
_atom_site_label
_atom_site_type_symbol
_atom_site_fract_x
_atom_site_fract_y
_atom_site_fract_z
Cu1 Cu 0.000 0.000 0.000
Mo1 Mo 0.500 0.500 0.247
Se1 Se 0.000 0.000 0.500
```



[9]
## CuMoSe (GGA-PBE)

Data for a relaxed CuMoSe crystal.

Summary:
raw total energy: -5.24 eV per atom
N(E_F): 1.22 states/eV/atom
formation energy from raw total energies: 900 meV/atom
volume: 221 Å³/cell
E above lowest polymorph: 869 meV/atom

Cell and atoms, written as CIF:
```
data_CuMoSe
_cell_length_a 6.050
_cell_length_b 6.050
_cell_length_c 6.050
_cell_angle_alpha 90.00
_cell_angle_beta 90.00
_cell_angle_gamma 90.00
_symmetry_space_group_name_H-M 'F -4 3 m'
_symmetry_Int_Tables_number 216
_symmetry_space_group_name_Hall 'F -4 2 3'
loop_
_atom_site_label
_atom_site_type_symbol
_atom_site_fract_x
_atom_site_fract_y
_atom_site_fract_z
Cu1 Cu 0.000 0.000 0.000
Mo1 Mo 0.250 0.250 0.250
Se1 Se 0.250 0.250 0.750
```



[10]
## CuMoSe2 (GGA-PBE)

Data for a relaxed CuMoSe2 crystal.

Summary:
raw total energy: -5.56 eV per atom
N(E_F): 0.68 states/eV/atom
formation energy from raw total energies: -89 meV/atom
volume: 87 Å³/cell
E above lowest polymorph: 22 meV/atom

Cell and atoms, written as CIF:
```
data_CuMoSe2
_cell_length_a 3.857
_cell_length_b 3.857
_cell_length_c 5.870
_cell_angle_alpha 90.00
_cell_angle_beta 90.00
_cell_angle_gamma 90.00
_symmetry_space_group_name_H-M 'P -4 m 2'
_symmetry_Int_Tables_number 115
loop_
_symmetry_equiv_pos_as_xyz
'x,y,z'
'y,-x,-z'
'-x,-y,z'
'-y,x,-z'
'-x,y,z'
'-y,-x,-z'
'x,-y,z'
'y,x,-z'
loop_
_atom_site_label
_atom_site_type_symbol
_atom_site_fract_x
_atom_site_fract_y
_atom_site_fract_z
Cu1 Cu 0.000 0.000 0.000
Mo1 Mo 0.500 0.500 0.000
Se1 Se 0.000 0.500 0.269
```



[11]
## CuMoSe2 (GGA-PBE)

Data for a relaxed CuMoSe2 crystal.

Summary:
raw total energy: -5.56 eV per atom
N(E_F): 0.58 states/eV/atom
formation energy from raw total energies: -84 meV/atom
volume: 162 Å³/cell
E above lowest polymorph: 27 meV/atom

Cell and atoms, written as CIF:
```
data_CuMoSe2
_cell_length_a 3.308
_cell_length_b 3.518
_cell_length_c 13.880
_cell_angle_alpha 90.00
_cell_angle_beta 90.00
_cell_angle_gamma 90.00
_symmetry_space_group_name_H-M 'I m m 2'
_symmetry_Int_Tables_number 44
loop_
_symmetry_equiv_pos_as_xyz
'x,y,z'
'-x,-y,z'
'-x,y,z'
'x,-y,z'
'x+1/2,y+1/2,z+1/2'
'-x+1/2,-y+1/2,z+1/2'
'-x+1/2,y+1/2,z+1/2'
'x+1/2,-y+1/2,z+1/2'
loop_
_atom_site_label
_atom_site_type_symbol
_atom_site_fract_x
_atom_site_fract_y
_atom_site_fract_z
Cu1 Cu 0.000 0.000 0.000
Mo1 Mo 0.000 0.500 0.858
Se1 Se 0.000 0.000 0.506
Se2 Se 0.000 0.500 0.273
```



[12]
## CuMoSe2 (GGA-PBE)

Data for a relaxed CuMoSe2 crystal.

Summary:
raw total energy: -5.26 eV per atom
N(E_F): 0.52 states/eV/atom
formation energy from raw total energies: 217 meV/atom
volume: 259 Å³/cell
E above lowest polymorph: 328 meV/atom

Cell and atoms, written as CIF:
```
data_CuMoSe2
_cell_length_a 6.377
_cell_length_b 6.377
_cell_length_c 6.377
_cell_angle_alpha 90.00
_cell_angle_beta 90.00
_cell_angle_gamma 90.00
_symmetry_space_group_name_H-M 'F m -3 m'
_symmetry_Int_Tables_number 225
_symmetry_space_group_name_Hall '-F 4 2 3'
loop_
_atom_site_label
_atom_site_type_symbol
_atom_site_fract_x
_atom_site_fract_y
_atom_site_fract_z
Cu1 Cu 0.000 0.000 0.000
Mo1 Mo 0.000 0.000 0.500
Se1 Se 0.250 0.250 0.250
```



[13]
## CuMo2Se (GGA-PBE)

Data for a relaxed CuMo2Se crystal.

Summary:
raw total energy: -6.87 eV per atom
N(E_F): 0.95 states/eV/atom
formation energy from raw total energies: 443 meV/atom
volume: 121 Å³/cell

Cell and atoms, written as CIF:
```
data_CuMo2Se
_cell_length_a 3.826
_cell_length_b 3.826
_cell_length_c 8.241
_cell_angle_alpha 90.00
_cell_angle_beta 90.00
_cell_angle_gamma 90.00
_symmetry_space_group_name_H-M 'I -4 m 2'
_symmetry_Int_Tables_number 119
_symmetry_space_group_name_Hall 'I -4 -2'
loop_
_atom_site_label
_atom_site_type_symbol
_atom_site_fract_x
_atom_site_fract_y
_atom_site_fract_z
Cu1 Cu 0.000 0.000 0.000
Mo1 Mo 0.000 0.000 0.500
Mo2 Mo 0.000 0.500 0.750
Se1 Se 0.000 0.500 0.250
```



[14]
## CuMoSe2 (GGA-PBE)

Data for a relaxed CuMoSe2 crystal.

Summary:
raw total energy: -5.23 eV per atom
N(E_F): 0.52 states/eV/atom
formation energy from raw total energies: 249 meV/atom
volume: 152 Å³/cell
E above lowest polymorph: 359 meV/atom

Cell and atoms, written as CIF:
```
data_CuMoSe2
_cell_length_a 3.333
_cell_length_b 4.710
_cell_length_c 9.704
_cell_angle_alpha 90.00
_cell_angle_beta 90.00
_cell_angle_gamma 90.00
_symmetry_space_group_name_H-M 'C m m 2'
_symmetry_Int_Tables_number 35
loop_
_symmetry_equiv_pos_as_xyz
'x,y,z'
'-x,-y,z'
'-x,y,z'
'x,-y,z'
'x+1/2,y+1/2,z'
'-x+1/2,-y+1/2,z'
'-x+1/2,y+1/2,z'
'x+1/2,-y+1/2,z'
loop_
_atom_site_label
_atom_site_type_symbol
_atom_site_fract_x
_atom_site_fract_y
_atom_site_fract_z
Cu1 Cu 0.000 0.000 0.000
Mo1 Mo 0.000 0.500 0.215
Se1 Se 0.000 0.000 0.414
Se2 Se 0.000 0.500 0.803
```



[15]
## CuMoSe2 (GGA-PBE)

Data for a relaxed CuMoSe2 crystal.

Summary:
raw total energy: -5.10 eV per atom
N(E_F): 0.41 states/eV/atom
formation energy from raw total energies: 379 meV/atom
volume: 71 Å³/cell
E above lowest polymorph: 489 meV/atom

Cell and atoms, written as CIF:
```
data_CuMoSe2
_cell_length_a 2.636
_cell_length_b 4.334
_cell_length_c 6.213
_cell_angle_alpha 90.00
_cell_angle_beta 91.53
_cell_angle_gamma 90.00
_symmetry_space_group_name_H-M 'P 1 2/m 1'
_symmetry_Int_Tables_number 10
loop_
_symmetry_equiv_pos_as_xyz
'x,y,z'
'-x,-y,-z'
'-x,y,-z'
'x,-y,z'
loop_
_atom_site_label
_atom_site_type_symbol
_atom_site_fract_x
_atom_site_fract_y
_atom_site_fract_z
Cu1 Cu 0.000 0.000 0.000
Mo1 Mo 0.000 0.000 0.500
Se1 Se 0.007 0.500 0.746
```



[16]
## CuMo2Se (GGA-PBE)

Data for a relaxed CuMo2Se crystal.

Summary:
raw total energy: -6.81 eV per atom
N(E_F): 0.93 states/eV/atom
formation energy from raw total energies: 502 meV/atom
volume: 248 Å³/cell

Cell and atoms, written as CIF:
```
data_CuMo2Se
_cell_length_a 6.283
_cell_length_b 6.283
_cell_length_c 6.283
_cell_angle_alpha 90.00
_cell_angle_beta 90.00
_cell_angle_gamma 90.00
_symmetry_space_group_name_H-M 'F -4 3 m'
_symmetry_Int_Tables_number 216
_symmetry_space_group_name_Hall 'F -4 2 3'
loop_
_atom_site_label
_atom_site_type_symbol
_atom_site_fract_x
_atom_site_fract_y
_atom_site_fract_z
Cu1 Cu 0.000 0.000 0.000
Mo1 Mo 0.000 0.000 0.500
Mo2 Mo 0.250 0.250 0.250
Se1 Se 0.250 0.250 0.750
```



[17]
## CuMo2Se (GGA-PBE)

Data for a relaxed CuMo2Se crystal.

Summary:
raw total energy: -6.98 eV per atom
N(E_F): 0.69 states/eV/atom
formation energy from raw total energies: 332 meV/atom
volume: 130 Å³/cell

Cell and atoms, written as CIF:
```
data_CuMo2Se
_cell_length_a 3.230
_cell_length_b 4.551
_cell_length_c 8.846
_cell_angle_alpha 90.00
_cell_angle_beta 90.00
_cell_angle_gamma 90.00
_symmetry_space_group_name_H-M 'C m m 2'
_symmetry_Int_Tables_number 35
loop_
_symmetry_equiv_pos_as_xyz
'x,y,z'
'-x,-y,z'
'-x,y,z'
'x,-y,z'
'x+1/2,y+1/2,z'
'-x+1/2,-y+1/2,z'
'-x+1/2,y+1/2,z'
'x+1/2,-y+1/2,z'
loop_
_atom_site_label
_atom_site_type_symbol
_atom_site_fract_x
_atom_site_fract_y
_atom_site_fract_z
Cu1 Cu 0.000 0.000 0.000
Mo1 Mo 0.000 0.000 0.472
Mo2 Mo 0.000 0.500 0.233
Se1 Se 0.000 0.500 0.724
```



[18]
## CuMoSe2 (GGA-PBE)

Data for a relaxed CuMoSe2 crystal.

Summary:
raw total energy: -5.25 eV per atom
N(E_F): 0.74 states/eV/atom
formation energy from raw total energies: 223 meV/atom
volume: 129 Å³/cell
E above lowest polymorph: 334 meV/atom

Cell and atoms, written as CIF:
```
data_CuMoSe2
_cell_length_a 3.811
_cell_length_b 4.599
_cell_length_c 7.383
_cell_angle_alpha 90.00
_cell_angle_beta 90.00
_cell_angle_gamma 90.00
_symmetry_space_group_name_H-M 'I m m m'
_symmetry_Int_Tables_number 71
_symmetry_space_group_name_Hall '-I 2 2'
loop_
_atom_site_label
_atom_site_type_symbol
_atom_site_fract_x
_atom_site_fract_y
_atom_site_fract_z
Cu1 Cu 0.000 0.000 0.000
Mo1 Mo 0.000 0.000 0.500
Se1 Se 0.000 0.500 0.285
```



[19]
## CuMoSe2 (GGA-PBE)

Data for a relaxed CuMoSe2 crystal.

Summary:
raw total energy: -5.41 eV per atom
N(E_F): 0.63 states/eV/atom
formation energy from raw total energies: 66 meV/atom
volume: 250 Å³/cell
E above lowest polymorph: 177 meV/atom

Cell and atoms, written as CIF:
```
data_CuMoSe2
_cell_length_a 3.1069
_cell_length_b 3.1069
_cell_length_c 29.9305
_cell_angle_alpha 90.00
_cell_angle_beta 90.00
_cell_angle_gamma 120.00
_symmetry_space_group_name_H-M 'R 3 m'
_symmetry_Int_Tables_number 160
_symmetry_space_group_name_Hall 'R 3 -2"'
loop_
_atom_site_label
_atom_site_type_symbol
_atom_site_fract_x
_atom_site_fract_y
_atom_site_fract_z
Cu1 Cu 0.0000 0.0000 0.0000
Mo1 Mo 0.0000 0.0000 0.7379
Se1 Se 0.0000 0.0000 0.2759
Se2 Se 0.0000 0.0000 0.4629
```



[20]
## CuMo2Se (GGA-PBE)

Data for a relaxed CuMo2Se crystal.

Summary:
raw total energy: -6.84 eV per atom
N(E_F): 0.59 states/eV/atom
formation energy from raw total energies: 466 meV/atom
volume: 260 Å³/cell

Cell and atoms, written as CIF:
```
data_CuMo2Se
_cell_length_a 3.711
_cell_length_b 3.711
_cell_length_c 18.883
_cell_angle_alpha 90.00
_cell_angle_beta 90.00
_cell_angle_gamma 90.00
_symmetry_space_group_name_H-M 'I -4 2 d'
_symmetry_Int_Tables_number 122
_symmetry_space_group_name_Hall 'I -4 2bw'
loop_
_atom_site_label
_atom_site_type_symbol
_atom_site_fract_x
_atom_site_fract_y
_atom_site_fract_z
Cu1 Cu 0.000 0.000 0.000
Mo1 Mo 0.238 0.250 0.125
Se1 Se 0.000 0.000 0.500
```